A plane-wave DFT calculation with PBE+U was carried out for a geometry-optimized Ca2MnF structure.

Results
Its calculated total energy is -70.42 eV/cell. The distance to the lowest polymorph of the same formula comes out at 0 meV per atom. The density of states at the Fermi level is 15.8 states/eV per cell. Its space-group type is I-42d (122).

Cell: 7.2048 7.2048 8.2901 Å, 90.00 90.00 90.00°
Element x y z (fractional)
Ca: 0.1398 0.2500 0.1250
Ca: 0.2500 0.6398 0.3750
Ca: 0.2500 0.8602 0.8750
Ca: 0.3602 0.2500 0.6250
Ca: 0.6398 0.7500 0.6250
Ca: 0.7500 0.1398 0.8750
Ca: 0.7500 0.3602 0.3750
Ca: 0.8602 0.7500 0.1250
Mn: 0.0000 0.0000 0.5000
Mn: 0.0000 0.5000 0.7500
Mn: 0.5000 0.0000 0.2500
Mn: 0.5000 0.5000 0.0000
F: 0.0000 0.0000 0.0000
F: 0.0000 0.5000 0.2500
F: 0.5000 0.0000 0.7500
F: 0.5000 0.5000 0.5000